1.
Compound: ThZnCu2
Source: Alexandria via LeMat-Bulk
Functional: PBE
Structure: optimized geometry

```
data_ThZnCu2
_chemical_formula_sum 'Th1 Zn1 Cu2'
_space_group_name_H-M_alt 'P 4/m m m'
_space_group_IT_number 123
_space_group_name_Hall '-P 4 2'
_cell_length_a 3.224
_cell_length_b 3.224
_cell_length_c 6.847
_cell_angle_alpha 90.00
_cell_angle_beta 90.00
_cell_angle_gamma 90.00
loop_
_atom_site_label
_atom_site_type_symbol
_atom_site_fract_x
_atom_site_fract_y
_atom_site_fract_z
Th1 Th 0.000 0.000 0.000
Zn1 Zn 0.000 0.000 0.500
Cu1 Cu 0.500 0.500 0.310
```

Output
* crystal system: tetragonal
* E_form: -0.032 eV per atom

***

2.
Compound: Nd6Sm2Tm3Mg
Source: Alexandria via LeMat-Bulk
Functional: PBE
Structure: optimized geometry

```
data_Nd6Sm2Tm3Mg
_chemical_formula_sum 'Nd12 Sm4 Tm6 Mg2'
_space_group_name_H-M_alt 'C 1 2/m 1'
_space_group_IT_number 12
_cell_length_a 6.227
_cell_length_b 10.794
_cell_length_c 11.819
_cell_angle_alpha 90.00
_cell_angle_beta 100.15
_cell_angle_gamma 90.00
loop_
_space_group_symop_operation_xyz
'x,y,z'
'-x,-y,-z'
'-x,y,-z'
'x,-y,z'
'x+1/2,y+1/2,z'
'-x+1/2,-y+1/2,-z'
'-x+1/2,y+1/2,-z'
'x+1/2,-y+1/2,z'
loop_
_atom_site_label
_atom_site_type_symbol
_atom_site_fract_x
_atom_site_fract_y
_atom_site_fract_z
Nd1 Nd 0.248 0.000 0.247
Nd2 Nd 0.249 0.166 0.752
Sm1 Sm 0.000 0.333 0.500
Tm1 Tm 0.000 0.166 0.000
Tm2 Tm 0.000 0.500 0.000
Mg1 Mg 0.000 0.000 0.500
```

Output
* crystal system: monoclinic
* E_form: 0.015 eV per atom

***

3.
Compound: YGa4Cu12
Source: Alexandria via LeMat-Bulk
Functional: PBE
Structure: optimized geometry

```
data_YGa4Cu12
_chemical_formula_sum 'Y2 Ga8 Cu24'
_space_group_name_H-M_alt 'I m -3'
_space_group_IT_number 204
_space_group_name_Hall '-I 2 2 3'
_cell_length_a 8.253
_cell_length_b 8.253
_cell_length_c 8.253
_cell_angle_alpha 90.00
_cell_angle_beta 90.00
_cell_angle_gamma 90.00
loop_
_atom_site_label
_atom_site_type_symbol
_atom_site_fract_x
_atom_site_fract_y
_atom_site_fract_z
Y1 Y 0.000 0.000 0.000
Ga1 Ga 0.250 0.250 0.250
Cu1 Cu 0.000 0.147 0.355
```

Output
* crystal system: cubic
* E_form: 0.299 eV per atom

***

4.
Compound: Ba2Ca2Bi2O
Source: Alexandria via LeMat-Bulk
Functional: PBE
Structure: optimized geometry

```
data_Ba2Ca2Bi2O
_chemical_formula_sum 'Ba4 Ca4 Bi4 O2'
_space_group_name_H-M_alt 'I 4/m m m'
_space_group_IT_number 139
_space_group_name_Hall '-I 4 2'
_cell_length_a 4.989
_cell_length_b 4.989
_cell_length_c 18.134
_cell_angle_alpha 90.00
_cell_angle_beta 90.00
_cell_angle_gamma 90.00
loop_
_atom_site_label
_atom_site_type_symbol
_atom_site_fract_x
_atom_site_fract_y
_atom_site_fract_z
Ba1 Ba 0.000 0.000 0.164
Ca1 Ca 0.000 0.500 0.000
Bi1 Bi 0.000 0.000 0.372
O1 O 0.000 0.000 0.000
```

Output
* crystal system: tetragonal
* energy relative to the elements, uncorrected: -1.532 eV/atom

***

5.
Compound: RbAs2OsO8
Source: Alexandria via LeMat-Bulk
Functional: PBE
Structure: optimized geometry

```
data_RbAs2OsO8
_chemical_formula_sum 'Rb3 As6 Os3 O24'
_space_group_name_H-M_alt 'R -3'
_space_group_IT_number 148
_space_group_name_Hall '-R 3'
_cell_length_a 5.0284
_cell_length_b 5.0284
_cell_length_c 27.5802
_cell_angle_alpha 90.00
_cell_angle_beta 90.00
_cell_angle_gamma 120.00
loop_
_atom_site_label
_atom_site_type_symbol
_atom_site_fract_x
_atom_site_fract_y
_atom_site_fract_z
Rb1 Rb 0.0000 0.0000 0.0000
As1 As 0.0000 0.0000 0.2312
Os1 Os 0.0000 0.0000 0.5000
O1 O 0.0000 0.0000 0.2916
O2 O 0.0063 0.3615 0.1246
```

Output
* crystal system: trigonal
* energy relative to the elements, uncorrected: -1.187 eV/atom

***

6.
Compound: Pr12Co3N5
Source: Alexandria via LeMat-Bulk
Functional: PBE
Structure: optimized geometry

```
data_Pr12Co3N5
_chemical_formula_sum 'Pr96 Co24 N40'
_space_group_name_H-M_alt 'I a -3 d'
_space_group_IT_number 230
_space_group_name_Hall '-I 4bd 2c 3'
_cell_length_a 15.763
_cell_length_b 15.763
_cell_length_c 15.763
_cell_angle_alpha 90.00
_cell_angle_beta 90.00
_cell_angle_gamma 90.00
loop_
_atom_site_label
_atom_site_type_symbol
_atom_site_fract_x
_atom_site_fract_y
_atom_site_fract_z
Pr1 Pr 0.030 0.057 0.651
Co1 Co 0.000 0.250 0.125
N1 N 0.000 0.000 0.000
N2 N 0.000 0.250 0.375
```

Output
* crystal system: cubic
* energy relative to the elements, uncorrected: -0.497 eV/atom

***

Uncorrected energy / eV for the cell shown: -17.02 -105.75 -125.29 -62.58 -226.21 -1041.89